# 1
Computed, not measured: a relaxed Hf11Cu9Ni4 crystal at the PBE level of DFT.

Geometry as POSCAR:
```
Hf11Cu9Ni4
1.0
3.205 0.000 0.000
0.000 10.640 -4.556
0.000 -0.008 11.575
Ni Hf Cu
4 11 9
Direct
0.500 0.750 0.553
0.500 0.250 0.447
0.500 0.447 0.250
0.500 0.553 0.750
0.000 0.932 0.590
0.000 0.169 0.831
0.000 0.590 0.932
0.000 0.000 0.000
0.000 0.367 0.633
0.000 0.831 0.169
0.000 0.068 0.410
0.000 0.709 0.709
0.000 0.291 0.291
0.000 0.410 0.068
0.000 0.633 0.367
0.500 0.211 0.069
0.500 0.931 0.789
0.500 0.789 0.931
0.500 0.839 0.370
0.500 0.370 0.839
0.500 0.069 0.211
0.500 0.161 0.630
0.500 0.630 0.161
0.500 0.500 0.500
```

Values from the calculation:
Its space-group type is Cmmm (65). The value obtained for the raw total energy is -7.295 eV per atom. The volume comes out at 394.5 Å³ per cell.

---

# 2
Computed, not measured: a relaxed Hf2CuNi9 crystal at the PBE level of DFT.

Geometry as POSCAR:
```
Hf2CuNi9
1.0
-2.067 3.026 -0.443
-1.586 -1.518 -2.968
-7.706 -4.337 6.335
Hf Ni Cu
2 9 1
Direct
0.000 0.000 0.325
0.000 0.000 0.675
0.000 0.500 0.155
0.500 0.000 0.155
0.000 0.500 0.845
0.500 0.500 0.000
0.500 0.500 0.330
0.500 0.500 0.670
0.500 0.000 0.500
0.000 0.500 0.500
0.500 0.000 0.845
0.000 0.000 0.000
```

Values from the calculation:
Its space-group type is P4/mmm (123). The value obtained for the raw total energy is -6.656 eV per atom. The volume comes out at 148.2 Å³ per cell.